# Ho2Ni7 | OQMD via LeMat-Bulk | PBE-GGA | relaxed
data_Ho2Ni7
_symmetry_space_group_name_H-M 'R -3 m'
_symmetry_Int_Tables_number 166
_symmetry_space_group_name_Hall '-R 3 2"'
_cell_length_a 4.9036
_cell_length_b 4.9036
_cell_length_c 36.0407
_cell_angle_alpha 90.00
_cell_angle_beta 90.00
_cell_angle_gamma 120.00
loop_
_atom_site_label
_atom_site_type_symbol
_atom_site_fract_x
_atom_site_fract_y
_atom_site_fract_z
Ho1 Ho 0.0000 0.0000 0.0506
Ho2 Ho 0.0000 0.0000 0.1473
Ni1 Ni 0.0000 0.0000 0.2782
Ni2 Ni 0.0000 0.0000 0.3883
Ni3 Ni 0.0000 0.0000 0.5000
Ni4 Ni 0.0000 0.5000 0.0000
Ni5 Ni 0.0011 0.5006 0.8902
# **DFT total energy**: -5.7519 eV per atom
# **ΔH_f (0 K)**: -3.64 eV per formula unit
# **Spin magnetization**: 1.2 μB per formula unit